Compound: GaPbW2O
Source: Alexandria via LeMat-Bulk
Functional: GGA+U
Structure: optimized geometry

The total energy is -3.601 eV/atom.

Cell lengths 5.654, 4.393, 5.654 Å; angles 90.00, 90.00, 90.00 degrees
Each line ends with the local moment (μB).
Positions (direct):
O  0.000  0.500  0.000  0.32
W  0.000  0.000  0.500  3.41
W  0.500  0.000  0.000  3.33
Pb  0.000  0.000  0.000  -0.04
Ga  0.500  0.500  0.500  0.04